# 1
Density functional theory data (PBE) for an optimized crystal structure of MgSbSe2.

Output
Raw total energy, eV per atom: -3.618
ΔE_f (raw), eV/atom: -0.446
Energy relative to the lowest polymorph listed for this composition, meV/atom: 95

abc: 6.3420 6.3420 4.1760
angles: 92.83 92.83 37.25
Fractional coordinates of all 4 atoms:
Mg  0.5164  0.5164  0.6051
Se  0.0085  0.0085  0.1127
Se  0.7362  0.7362  0.6398
Sb  0.2389  0.2389  0.1424

---

# 2
Density functional theory data (PBE) for an optimized crystal structure of Mg3SbSe.

Output
Raw total energy, eV per atom: -2.698
ΔE_f (raw), eV/atom: -0.220
Energy relative to the lowest polymorph listed for this composition, meV/atom: 0

abc: 5.0715 5.0715 5.0715
angles: 90.00 90.00 90.00
Fractional coordinates of all 5 atoms:
Se  0.0000  0.0000  0.0000
Mg  0.0000  0.5000  0.0000
Mg  0.5000  0.0000  0.0000
Mg  0.0000  0.0000  0.5000
Sb  0.5000  0.5000  0.5000

---

# 3
Density functional theory data (PBE) for an optimized crystal structure of MgSb2Se.

Output
Raw total energy, eV per atom: -3.397
ΔE_f (raw), eV/atom: -0.066
Energy relative to the lowest polymorph listed for this composition, meV/atom: 275

abc: 6.4567 6.4567 6.4567
angles: 148.36 133.18 57.61
Fractional coordinates of all 4 atoms:
Sb  0.9758  0.9758  0.0000
Sb  0.7474  0.2474  0.5000
Mg  0.2944  0.7944  0.5000
Se  0.4824  0.4824  0.0000

---

# 4
Density functional theory data (PBE) for an optimized crystal structure of MgSb2Se.

Output
Raw total energy, eV per atom: -3.229
ΔE_f (raw), eV/atom: 0.102
Energy relative to the lowest polymorph listed for this composition, meV/atom: 443

abc: 6.2413 6.2413 8.4344
angles: 68.29 68.29 90.00
Fractional coordinates of all 8 atoms:
Mg  0.2500  0.7500  0.5000
Mg  0.5000  0.5000  0.0000
Se  0.0000  0.0000  0.0000
Se  0.7500  0.2500  0.5000
Sb  0.1209  0.6250  0.2500
Sb  0.3750  0.3709  0.7500
Sb  0.6291  0.1250  0.2500
Sb  0.8750  0.8791  0.7500

---

# 5
Density functional theory data (PBE) for an optimized crystal structure of MgSb4Se7.

Output
Raw total energy, eV per atom: -3.960
ΔE_f (raw), eV/atom: -0.420

abc: 4.0562 4.0562 23.8833
angles: 90.00 90.00 120.00
Fractional coordinates of all 12 atoms:
Sb  0.6667  0.3333  0.0794
Sb  0.3333  0.6667  0.6448
Sb  0.6667  0.3333  0.3552
Sb  0.3333  0.6667  0.9206
Mg  0.0000  0.0000  0.5000
Se  0.6667  0.3333  0.5628
Se  0.0000  0.0000  0.2909
Se  0.6667  0.3333  0.8552
Se  0.3333  0.6667  0.1448
Se  0.0000  0.0000  0.0000
Se  0.0000  0.0000  0.7091
Se  0.3333  0.6667  0.4372

---

# 6
Density functional theory data (PBE) for an optimized crystal structure of MgSb2Se.

Output
Raw total energy, eV per atom: -3.349
ΔE_f (raw), eV/atom: -0.018
Energy relative to the lowest polymorph listed for this composition, meV/atom: 323

abc: 5.0920 5.0920 5.0920
angles: 115.44 115.44 98.10
Fractional coordinates of all 4 atoms:
Se  0.5000  0.5000  0.0000
Mg  0.7500  0.2500  0.5000
Sb  0.0000  0.0000  0.0000
Sb  0.2500  0.7500  0.5000